# LaFeNiH6 | Alexandria | PBE | optimized geometry
data_LaFeNiH6
_cell_length_a 4.4659
_cell_length_b 4.4659
_cell_length_c 4.4528
_cell_angle_alpha 90.00
_cell_angle_beta 90.00
_cell_angle_gamma 120.00
_symmetry_space_group_name_H-M 'P -6 m 2'
_symmetry_Int_Tables_number 187
_symmetry_space_group_name_Hall 'P -6 2'
loop_
_atom_site_label
_atom_site_type_symbol
_atom_site_fract_x
_atom_site_fract_y
_atom_site_fract_z
La1 La 0.0000 0.0000 0.0000
Fe1 Fe 0.6667 0.3333 0.5000
Ni1 Ni 0.3333 0.6667 0.5000
H1 H 0.5029 0.0057 0.2605
# total energy: -4.717 eV per atom